Here is a relaxed KTe2F crystal from the Alexandria database. Energies are from PBE.

The calculation puts the spin magnetization at 0.000 μB per formula unit. Its energy above the most stable polymorph in this dataset is 0.7200 eV/atom.

a b c (Å): 3.4995 3.4995 31.5038
angles (deg): 90.00 90.00 120.00
Space group R-3m (No. 166, hexagonal axes)
Asymmetric unit:
K: 0.0000 0.0000 0.0000 [3 per cell]
Te: 0.0000 0.0000 0.4265 [6 per cell]
F: 0.0000 0.0000 0.5000 [3 per cell]